{"formula": "ZnCoP2Cl", "functional": "GGA-PBE", "state": "optimized geometry", "lattice_angstrom": [[4.5612, 0.0000, 0.0000], [0.0000, 4.5612, 0.0000], [0.0000, 0.0000, 5.0468]], "species": ["Zn", "Co", "P", "P", "Cl"], "fractional_positions": [[0.0000, 0.0000, 0.0000], [0.5000, 0.5000, 0.5000], [0.0000, 0.5000, 0.0000], [0.5000, 0.0000, 0.0000], [0.0000, 0.0000, 0.5000]], "space_group": "P4/mmm, No. 123", "e_above_lowest_polymorph_ev_per_atom": 0.6891, "raw_formation_energy_ev_per_atom": 1.060}

=====

{"formula": "Pr5Nd3Tm2", "functional": "GGA-PBE", "state": "optimized geometry", "lattice_angstrom": [[5.4644, -7.5075, 0.0000], [5.4644, 7.5075, 0.0000], [-5.4629, 0.0000, 8.5650]], "species": ["Pr", "Pr", "Pr", "Pr", "Pr", "Pr", "Pr", "Pr", "Pr", "Pr", "Nd", "Nd", "Nd", "Nd", "Nd", "Nd", "Tm", "Tm", "Tm", "Tm"], "fractional_positions": [[0.0200, 0.9800, 0.7500], [0.1214, 0.3727, 0.7493], [0.2277, 0.7723, 0.7500], [0.3727, 0.1214, 0.2493], [0.4776, 0.5224, 0.2500], [0.5224, 0.4776, 0.7500], [0.6273, 0.8786, 0.7507], [0.7723, 0.2277, 0.2500], [0.8786, 0.6273, 0.2507], [0.9800, 0.0200, 0.2500], [0.2219, 0.4718, 0.4427], [0.2702, 0.7298, 0.2500], [0.4718, 0.2219, 0.9427], [0.5282, 0.7781, 0.0573], [0.7298, 0.2702, 0.7500], [0.7781, 0.5282, 0.5573], [0.0283, 0.2802, 0.0571], [0.2802, 0.0283, 0.5571], [0.7198, 0.9717, 0.4429], [0.9717, 0.7198, 0.9429]], "space_group": "C2/c, No. 15", "e_tot_ev_per_atom": -4.551}

=====

{"formula": "CsNpSb2Au2", "functional": "GGA-PBE", "state": "optimized geometry", "lattice_angstrom": [[4.7215, 0.0000, 0.0000], [-2.3607, 4.0889, 0.0000], [0.0000, 0.0000, 9.8037]], "species": ["Cs", "Np", "Sb", "Sb", "Au", "Au"], "fractional_positions": [[0.0000, 0.0000, 0.0000], [0.0000, 0.0000, 0.5000], [0.3333, 0.6667, 0.7080], [0.6667, 0.3333, 0.2920], [0.3333, 0.6667, 0.3325], [0.6667, 0.3333, 0.6675]], "space_group": "P-3m1, No. 164", "raw_formation_energy_ev_per_atom": -0.381}

=====

{"formula": "Rb4Hg3", "functional": "GGA-PBE", "state": "optimized geometry", "lattice_angstrom": [[9.2665, 0.0000, 0.0000], [0.0000, 5.3946, 0.0000], [-3.2571, 0.0000, 15.9537]], "species": ["Rb", "Rb", "Rb", "Rb", "Rb", "Rb", "Rb", "Rb", "Hg", "Hg", "Hg", "Hg", "Hg", "Hg"], "fractional_positions": [[0.0485, 0.0000, 0.1391], [0.2092, 0.0000, 0.6261], [0.2908, 0.5000, 0.3739], [0.4515, 0.5000, 0.8609], [0.5485, 0.5000, 0.1391], [0.7092, 0.5000, 0.6261], [0.7908, 0.0000, 0.3739], [0.9515, 0.0000, 0.8609], [0.0000, 0.5000, 0.5000], [0.1670, 0.5000, 0.0003], [0.3330, 0.0000, 0.9997], [0.5000, 0.0000, 0.5000], [0.6670, 0.0000, 0.0003], [0.8330, 0.5000, 0.9997]], "space_group": "C2/m, No. 12", "e_above_lowest_polymorph_ev_per_atom": 0.0202}

=====

{"formula": "UFe2H7", "functional": "GGA-PBE", "state": "optimized geometry", "lattice_angstrom": [[2.4761, -4.2002, 0.0000], [2.4761, 4.2002, 0.0000], [0.0000, 0.0000, 3.3560]], "species": ["U", "Fe", "Fe", "H", "H", "H", "H", "H", "H", "H"], "fractional_positions": [[0.0000, 0.0000, 0.0000], [0.3106, 0.6894, 0.5000], [0.6894, 0.3106, 0.5000], [0.0386, 0.3258, 0.5000], [0.3071, 0.6929, 0.0000], [0.3258, 0.0386, 0.5000], [0.5000, 0.5000, 0.5000], [0.6742, 0.9614, 0.5000], [0.6929, 0.3071, 0.0000], [0.9614, 0.6742, 0.5000]], "space_group": "Cmmm, No. 65", "e_tot_ev_per_atom": -5.195}

=====

{"formula": "CsK2NaBr", "functional": "GGA-PBE", "state": "optimized geometry", "lattice_angstrom": [[6.6317, 0.0000, 0.0000], [0.0000, 6.6317, 0.0000], [0.0000, 0.0000, 6.6154]], "species": ["Cs", "K", "K", "Na", "Br"], "fractional_positions": [[0.0000, 0.0000, 0.0000], [0.0000, 0.5000, 0.5000], [0.5000, 0.0000, 0.5000], [0.5000, 0.5000, 0.0000], [0.5000, 0.5000, 0.5000]], "space_group": "P4/mmm, No. 123", "e_above_lowest_polymorph_ev_per_atom": 0.1055, "raw_formation_energy_ev_per_atom": -0.525}

=====

{"formula": "Sr2Mg2H7", "functional": "GGA-PBE", "state": "optimized geometry", "lattice_angstrom": [[3.4939, -3.8963, 0.0000], [3.4939, 3.8963, 0.0000], [0.0000, 0.0000, 5.1683]], "species": ["Sr", "Sr", "Mg", "Mg", "H", "H", "H", "H", "H", "H", "H"], "fractional_positions": [[0.2432, 0.2432, 0.0000], [0.7568, 0.7568, 0.0000], [0.2774, 0.7226, 0.5000], [0.7226, 0.2774, 0.5000], [0.0000, 0.0000, 0.5000], [0.0000, 0.5000, 0.2721], [0.0000, 0.5000, 0.7279], [0.5000, 0.0000, 0.2721], [0.5000, 0.0000, 0.7279], [0.5000, 0.5000, 0.2783], [0.5000, 0.5000, 0.7217]], "space_group": "Cmmm, No. 65", "e_tot_ev_per_atom": -3.001}

=====

{"formula": "PuNpAgO6", "functional": "GGA-PBE", "state": "optimized geometry", "lattice_angstrom": [[5.8493, 0.0000, 0.0000], [-2.9246, 5.0656, 0.0000], [0.0000, 0.0000, 9.5927]], "species": ["Pu", "Pu", "Np", "Np", "Ag", "Ag", "O", "O", "O", "O", "O", "O", "O", "O", "O", "O", "O", "O"], "fractional_positions": [[0.3333, 0.6667, 0.2500], [0.6667, 0.3333, 0.7500], [0.3333, 0.6667, 0.7500], [0.6667, 0.3333, 0.2500], [0.0000, 0.0000, 0.0000], [0.0000, 0.0000, 0.5000], [0.0105, 0.3755, 0.6426], [0.0105, 0.6351, 0.8574], [0.3649, 0.3755, 0.8574], [0.3649, 0.9895, 0.6426], [0.3755, 0.0105, 0.1426], [0.3755, 0.3649, 0.3574], [0.6245, 0.6351, 0.6426], [0.6245, 0.9895, 0.8574], [0.6351, 0.0105, 0.3574], [0.6351, 0.6245, 0.1426], [0.9895, 0.3649, 0.1426], [0.9895, 0.6245, 0.3574]], "space_group": "P-31c, No. 163", "raw_formation_energy_ev_per_atom": -2.209}

=====

{"formula": "Ni2AgCl", "functional": "GGA-PBE", "state": "optimized geometry", "lattice_angstrom": [[2.9048, 0.0000, 0.0000], [0.0000, 4.8449, 0.0000], [0.0000, 0.0000, 8.4616]], "species": ["Ni", "Ni", "Ni", "Ni", "Ag", "Ag", "Cl", "Cl"], "fractional_positions": [[0.0000, 0.0000, 0.2247], [0.0000, 0.0000, 0.7753], [0.5000, 0.5000, 0.2753], [0.5000, 0.5000, 0.7247], [0.0000, 0.5000, 0.0000], [0.5000, 0.0000, 0.5000], [0.0000, 0.5000, 0.5000], [0.5000, 0.0000, 0.0000]], "space_group": "Immm, No. 71", "e_above_lowest_polymorph_ev_per_atom": 0.3509, "raw_formation_energy_ev_per_atom": 0.497}

=====

{"formula": "K3ThNp2Se6", "functional": "GGA-PBE", "state": "optimized geometry", "lattice_angstrom": [[3.7068, -6.4204, 0.0000], [3.7068, 6.4204, 0.0000], [-2.4711, 0.0000, 7.7256]], "species": ["K", "K", "K", "Th", "Np", "Np", "Se", "Se", "Se", "Se", "Se", "Se"], "fractional_positions": [[0.0000, 0.0000, 0.0000], [0.3331, 0.6669, 0.0000], [0.6669, 0.3331, 0.0000], [0.5000, 0.5000, 0.5000], [0.1667, 0.8333, 0.5000], [0.8333, 0.1667, 0.5000], [0.0968, 0.4300, 0.2902], [0.2366, 0.2366, 0.7098], [0.4300, 0.0968, 0.2902], [0.5700, 0.9032, 0.7098], [0.7634, 0.7634, 0.2902], [0.9032, 0.5700, 0.7098]], "space_group": "C2/m, No. 12", "raw_formation_energy_ev_per_atom": -1.369}

=====

{"formula": "NaAc2TeS6", "functional": "GGA-PBE", "state": "optimized geometry", "lattice_angstrom": [[6.8865, 0.0000, 0.0000], [0.0000, 7.5951, 0.0000], [-6.5899, 0.0000, 9.8303]], "species": ["Na", "Na", "Ac", "Ac", "Ac", "Ac", "Te", "Te", "S", "S", "S", "S", "S", "S", "S", "S", "S", "S", "S", "S"], "fractional_positions": [[0.0000, 0.0000, 0.0000], [0.0000, 0.5000, 0.5000], [0.2140, 0.0955, 0.7481], [0.2140, 0.4045, 0.2481], [0.7860, 0.5955, 0.7519], [0.7860, 0.9045, 0.2519], [0.5000, 0.0000, 0.5000], [0.5000, 0.5000, 0.0000], [0.1372, 0.1745, 0.4462], [0.1372, 0.3255, 0.9462], [0.2710, 0.7030, 0.4391], [0.2710, 0.7970, 0.9391], [0.3833, 0.0412, 0.2556], [0.3833, 0.4588, 0.7556], [0.6167, 0.5412, 0.2444], [0.6167, 0.9588, 0.7444], [0.7290, 0.2030, 0.0609], [0.7290, 0.2970, 0.5609], [0.8628, 0.6745, 0.0538], [0.8628, 0.8255, 0.5538]], "space_group": "P2_1/c, No. 14", "raw_formation_energy_ev_per_atom": -1.195}

=====

In the order shown, the computed M_tot values come out to 0.56; 0.00; 0.67; 0.00; 0.30; 0.03; 0.00; 0.44; 0.25; 0.75; 0.00 μB per atom.